Entry 1:
Entry from the Alexandria database: a geometry-optimized ScTi2Ru structure (PBE).

It has space group Fm-3m (No. 225), with a = 6.430 Å, b = 6.430 Å, c = 6.430 Å, α = 90.00°, β = 90.00° and γ = 90.00°. The asymmetric unit holds Sc at (0.000, 0.000, 0.000), Ti at (0.250, 0.250, 0.250) and Ru at (0.000, 0.000, 0.500).

Its offset from the most stable computed form is 198 meV/atom. As for the theoretical density: 6.0 g cm⁻³. For the density of states at the Fermi level, the calculation gives 28.31 states/eV/cell. As for the total energy: -8.02 eV per atom. The energy of formation comes out at -0.175 eV/atom.

=====

Entry 2:
Entry from the Alexandria database: a geometry-optimized ScTi2VRu structure (PBE).

It has space group P4/mmm (No. 123), with a = 4.525 Å, b = 4.525 Å, c = 4.551 Å, α = 90.00°, β = 90.00° and γ = 90.00°. The asymmetric unit holds Sc at (0.000, 0.000, 0.000), Ti at (0.000, 0.500, 0.500), V at (0.500, 0.500, 0.500) and Ru at (0.500, 0.500, 0.000).

As for the theoretical density: 5.2 g cm⁻³. For the density of states at the Fermi level, the calculation gives 4.60 states/eV/cell. As for the total energy: -7.73 eV per atom. The energy of formation comes out at 0.377 eV/atom.

=====

Entry 3:
Entry from the Alexandria database: a geometry-optimized ZrScTiRu2 structure (PBE).

It has space group P4/mmm (No. 123), with a = 4.807 Å, b = 4.807 Å, c = 4.662 Å, α = 90.00°, β = 90.00° and γ = 90.00°. The asymmetric unit holds Zr at (0.000, 0.000, 0.000), Sc at (0.500, 0.500, 0.500), Ti at (0.000, 0.000, 0.500) and Ru at (0.000, 0.500, 0.000).

As for the theoretical density: 6.0 g cm⁻³. For the density of states at the Fermi level, the calculation gives 6.24 states/eV/cell. As for the total energy: -7.35 eV per atom. The energy of formation comes out at 0.920 eV/atom.

=====

Entry 4:
Entry from the Alexandria database: a geometry-optimized Sc2TlRu structure (PBE).

It has space group R3m (No. 160, hexagonal axes), with a = 3.2742 Å, b = 3.2742 Å, c = 27.8362 Å, α = 90.00°, β = 90.00° and γ = 120.00°. The asymmetric unit holds Sc at (0.0000, 0.0000, 0.0000), Sc at (0.0000, 0.0000, 0.2334), Tl at (0.0000, 0.0000, 0.4768) and Ru at (0.0000, 0.0000, 0.7328).

As for the theoretical density: 7.6 g cm⁻³. For the density of states at the Fermi level, the calculation gives 16.34 states/eV/cell. As for the total energy: -5.99 eV per atom. The energy of formation comes out at 0.088 eV/atom.

=====

Entry 5:
Entry from the Alexandria database: a geometry-optimized Sc2TlRu structure (PBE).

It has space group I-4m2 (No. 119), with a = 4.206 Å, b = 4.206 Å, c = 8.785 Å, α = 90.00°, β = 90.00° and γ = 90.00°. The asymmetric unit holds Sc at (0.000, 0.000, 0.000), Sc at (0.000, 0.500, 0.250), Tl at (0.000, 0.500, 0.750) and Ru at (0.000, 0.000, 0.500).

As for the theoretical density: 8.4 g cm⁻³. For the density of states at the Fermi level, the calculation gives 7.78 states/eV/cell. As for the total energy: -6.27 eV per atom. The energy of formation comes out at -0.189 eV/atom.

=====

Entry 6:
Entry from the Alexandria database: a geometry-optimized Sc2TlRu structure (PBE).

It has space group R-3m (No. 166, hexagonal axes), with a = 3.3079 Å, b = 3.3079 Å, c = 26.4846 Å, α = 90.00°, β = 90.00° and γ = 120.00°. The asymmetric unit holds Sc at (0.0000, 0.0000, 0.2370), Tl at (0.0000, 0.0000, 0.0000) and Ru at (0.0000, 0.0000, 0.5000).

As for the theoretical density: 7.8 g cm⁻³. For the density of states at the Fermi level, the calculation gives 4.34 states/eV/cell. As for the total energy: -6.37 eV per atom. The energy of formation comes out at -0.292 eV/atom.

=====

Entry 7:
Entry from the Alexandria database: a geometry-optimized ScTlRu3 structure (PBE).

It has space group Pm-3m (No. 221), with a = 4.701 Å, b = 4.701 Å, c = 4.701 Å, α = 90.00°, β = 90.00° and γ = 90.00°. The asymmetric unit holds Sc at (0.000, 0.000, 0.000), Tl at (0.500, 0.500, 0.500) and Ru at (0.000, 0.000, 0.500).

Its offset from the most stable computed form is 0 meV/atom. As for the theoretical density: 8.8 g cm⁻³. For the density of states at the Fermi level, the calculation gives 5.66 states/eV/cell. As for the total energy: -5.95 eV per atom. The energy of formation comes out at 1.351 eV/atom.

=====

Entry 8:
Entry from the Alexandria database: a geometry-optimized Sc2TlRu structure (PBE).

It has space group Imm2 (No. 44), with a = 3.365 Å, b = 4.724 Å, c = 10.207 Å, α = 90.00°, β = 90.00° and γ = 90.00°. The asymmetric unit holds Sc at (0.000, 0.000, 0.000), Sc at (0.000, 0.500, 0.214), Tl at (0.000, 0.500, 0.778) and Ru at (0.000, 0.000, 0.508).

As for the theoretical density: 8.1 g cm⁻³. For the density of states at the Fermi level, the calculation gives 7.59 states/eV/cell. As for the total energy: -6.31 eV per atom. The energy of formation comes out at -0.232 eV/atom.

=====

Entry 9:
Entry from the Alexandria database: a geometry-optimized Sc2TlRu structure (PBE).

It has space group P4/mmm (No. 123), with a = 3.227 Å, b = 3.227 Å, c = 7.829 Å, α = 90.00°, β = 90.00° and γ = 90.00°. The asymmetric unit holds Sc at (0.000, 0.000, 0.199), Tl at (0.500, 0.500, 0.500) and Ru at (0.500, 0.500, 0.000).

As for the theoretical density: 8.1 g cm⁻³. For the density of states at the Fermi level, the calculation gives 2.12 states/eV/cell. As for the total energy: -6.56 eV per atom. The energy of formation comes out at -0.488 eV/atom.

=====

Entry 10:
Entry from the Alexandria database: a geometry-optimized Sc4Tl3Ru structure (PBE).

It has space group P4/mmm (No. 123), with a = 3.375 Å, b = 3.375 Å, c = 15.132 Å, α = 90.00°, β = 90.00° and γ = 90.00°. The asymmetric unit holds Sc at (0.000, 0.000, 0.099), Sc at (0.000, 0.000, 0.366), Tl at (0.500, 0.500, 0.234), Tl at (0.500, 0.500, 0.500) and Ru at (0.500, 0.500, 0.000).

As for the theoretical density: 8.6 g cm⁻³. For the density of states at the Fermi level, the calculation gives 3.99 states/eV/cell. As for the total energy: -5.59 eV per atom. The energy of formation comes out at -0.374 eV/atom.

=====

Entry 11:
Entry from the Alexandria database: a geometry-optimized Sc6TlRu2 structure (PBE).

It has space group Immm (No. 71), with a = 8.785 Å, b = 8.902 Å, c = 9.899 Å, α = 90.00°, β = 90.00° and γ = 90.00°. The asymmetric unit holds Sc at (0.000, 0.211, 0.241), Sc at (0.192, 0.500, 0.169), Sc at (0.211, 0.315, 0.500), Tl at (0.000, 0.000, 0.000), Tl at (0.000, 0.000, 0.500), Ru at (0.000, 0.331, 0.000) and Ru at (0.000, 0.500, 0.365).

As for the theoretical density: 5.8 g cm⁻³. For the density of states at the Fermi level, the calculation gives 32.67 states/eV/cell. As for the total energy: -6.93 eV per atom. The energy of formation comes out at -0.381 eV/atom.

=====

Entry 12:
Entry from the Alexandria database: a geometry-optimized Sc2TlRu structure (PBE).

It has space group F-43m (No. 216), with a = 6.727 Å, b = 6.727 Å, c = 6.727 Å, α = 90.00°, β = 90.00° and γ = 90.00°. The asymmetric unit holds Sc at (0.000, 0.000, 0.000), Sc at (0.250, 0.250, 0.250), Tl at (0.250, 0.250, 0.750) and Ru at (0.000, 0.000, 0.500).

As for the theoretical density: 8.6 g cm⁻³. For the density of states at the Fermi level, the calculation gives 17.39 states/eV/cell. As for the total energy: -6.24 eV per atom. The energy of formation comes out at -0.164 eV/atom.

=====

Entry 13:
Entry from the Alexandria database: a geometry-optimized Sc2TlRu structure (PBE).

It has space group P4/mmm (No. 123), with a = 4.745 Å, b = 4.745 Å, c = 3.475 Å, α = 90.00°, β = 90.00° and γ = 90.00°. The asymmetric unit holds Sc at (0.000, 0.500, 0.000), Tl at (0.000, 0.000, 0.500) and Ru at (0.500, 0.500, 0.500).

As for the theoretical density: 8.4 g cm⁻³. For the density of states at the Fermi level, the calculation gives 1.89 states/eV/cell. As for the total energy: -6.40 eV per atom. The energy of formation comes out at -0.328 eV/atom.